Entry 1:
Density functional theory data (PBEsol) for a geometry-optimized KPb5 structure.

Its crystal system is monoclinic. The calculation puts the energy at -42.6 eV for the cell shown. Its energy relative to the lowest polymorph listed for this composition is 0 meV per atom. As for the density of states at the Fermi level: 5.6 states/eV/cell.

The structure belongs to space group Cm (No. 8); the cell edges are 13.568, 3.576 and 7.959 Å and the angles 90.00°, 106.26° and 90.00°. The asymmetric unit holds K at (0.000, 0.000, 0.000), Pb at (0.046, 0.000, 0.578), Pb at (0.173, 0.500, 0.342), Pb at (0.218, 0.500, 0.916), Pb at (0.326, 0.000, 0.646) and Pb at (0.366, 0.000, 0.262).

Entry 2:
Density functional theory data (PBEsol) for a geometry-optimized CuP4Ru2O14 structure.

Its crystal system is triclinic. The calculation puts the energy at -156.0 eV for the cell shown. For the energy relative to the elements, uncorrected, the calculation gives -1651 meV/atom. As for the density of states at the Fermi level: 7.4 states/eV/cell.

The structure belongs to space group P-1 (No. 2); the cell edges are 4.819, 6.700 and 8.208 Å and the angles 92.23°, 92.11° and 107.03°. The asymmetric unit holds Cu at (0.000, 0.000, 0.000), P at (0.024, 0.658, 0.769), P at (0.390, 0.751, 0.312), Ru at (0.000, 0.000, 0.500), Ru at (0.500, 0.500, 0.000), O at (0.148, 0.280, 0.087), O at (0.150, 0.843, 0.667), O at (0.186, 0.888, 0.323), O at (0.206, 0.513, 0.345), O at (0.254, 0.561, 0.826), O at (0.371, 0.217, 0.555) and O at (0.484, 0.753, 0.134).

Entry 3:
Density functional theory data (PBEsol) for a geometry-optimized CrOsPb2 structure.

Its crystal system is tetragonal. The calculation puts the energy at -26.8 eV for the cell shown. Its energy relative to the lowest polymorph listed for this composition is 492 meV per atom. As for the density of states at the Fermi level: 3.1 states/eV/cell.

The structure belongs to space group P4/mmm (No. 123); the cell edges are 3.297, 3.297 and 7.039 Å and the angles 90.00°, 90.00° and 90.00°. The asymmetric unit holds Cr at (0.000, 0.000, 0.000), Os at (0.000, 0.000, 0.500) and Pb at (0.500, 0.500, 0.261).

Entry 4:
Density functional theory data (PBEsol) for a geometry-optimized SrCaCl structure.

Its crystal system is cubic. The calculation puts the energy at -25.7 eV for the cell shown. For the energy relative to the elements, uncorrected, the calculation gives -148 meV/atom. As for the density of states at the Fermi level: 16.9 states/eV/cell.

The structure belongs to space group F-43m (No. 216); the cell edges are 8.374, 8.374 and 8.374 Å and the angles 90.00°, 90.00° and 90.00°. The asymmetric unit holds Sr at (0.000, 0.000, 0.000), Ca at (0.250, 0.250, 0.750) and Cl at (0.250, 0.250, 0.250).

Entry 5:
Density functional theory data (PBEsol) for a geometry-optimized NbCu2Au structure.

Its crystal system is cubic. The calculation puts the energy at -93.9 eV for the cell shown. As for the density of states at the Fermi level: 5.9 states/eV/cell.

The structure belongs to space group Fm-3m (No. 225); the cell edges are 6.091, 6.091 and 6.091 Å and the angles 90.00°, 90.00° and 90.00°. The asymmetric unit holds Nb at (0.000, 0.000, 0.000), Cu at (0.250, 0.250, 0.250) and Au at (0.000, 0.000, 0.500).

Entry 6:
Density functional theory data (PBEsol) for a geometry-optimized AlFe2Si structure.

Its crystal system is trigonal. The calculation puts the energy at -84.0 eV for the cell shown. For the energy relative to the elements, uncorrected, the calculation gives -61 meV/atom. As for the density of states at the Fermi level: 7.7 states/eV/cell.

The structure belongs to space group R3m (No. 160, hexagonal axes); the cell edges are 2.6737, 2.6737 and 23.2883 Å and the angles 90.00°, 90.00° and 120.00°. The asymmetric unit holds Al at (0.0000, 0.0000, 0.0000), Fe at (0.0000, 0.0000, 0.2508), Fe at (0.0000, 0.0000, 0.5040) and Si at (0.0000, 0.0000, 0.7624).

Entry 7:
Density functional theory data (PBEsol) for a geometry-optimized NaMg2TiTe structure.

Its crystal system is tetragonal. The calculation puts the energy at -12.1 eV for the cell shown. For the energy relative to the elements, uncorrected, the calculation gives 911 meV/atom. As for the density of states at the Fermi level: 6.5 states/eV/cell.

The structure belongs to space group P4/mmm (No. 123); the cell edges are 5.384, 5.384 and 5.577 Å and the angles 90.00°, 90.00° and 90.00°. The asymmetric unit holds Na at (0.000, 0.000, 0.000), Mg at (0.000, 0.500, 0.500), Ti at (0.000, 0.000, 0.500) and Te at (0.500, 0.500, 0.000).

Entry 8:
Density functional theory data (PBEsol) for a geometry-optimized K5Tm3I12 structure.

Its crystal system is hexagonal. The calculation puts the energy at -68.1 eV for the cell shown. For the energy relative to the elements, uncorrected, the calculation gives -1326 meV/atom. As for the density of states at the Fermi level: 6.1 states/eV/cell.

The structure belongs to space group P-62m (No. 189); the cell edges are 14.4158, 14.4158 and 4.2888 Å and the angles 90.00°, 90.00° and 120.00°. The asymmetric unit holds K at (0.0000, 0.7210, 0.0000), K at (0.3333, 0.6667, 0.0000), Tm at (0.0000, 0.3269, 0.5000), I at (0.0000, 0.1774, 0.0000), I at (0.0000, 0.4727, 0.0000) and I at (0.2057, 0.7606, 0.5000).

Entry 9:
Density functional theory data (PBEsol) for a geometry-optimized Na3Pr5Cl18 structure.

Its crystal system is hexagonal. The calculation puts the energy at -123.5 eV for the cell shown. For the energy relative to the elements, uncorrected, the calculation gives -2200 meV/atom. As for the density of states at the Fermi level: 0.0 states/eV/cell.

The structure belongs to space group P-6 (No. 174); the cell edges are 7.5143, 7.5143 and 12.6493 Å and the angles 90.00°, 90.00° and 120.00°. The asymmetric unit holds Na at (0.0000, 0.0000, 0.0000), Na at (0.3333, 0.6667, 0.2239), Pr at (0.0000, 0.0000, 0.3318), Pr at (0.6667, 0.3333, 0.1601), Pr at (0.6667, 0.3333, 0.5000), Cl at (0.0255, 0.2742, 0.5000), Cl at (0.0249, 0.2782, 0.1736), Cl at (0.4198, 0.3661, 0.3355) and Cl at (0.4285, 0.3746, 0.0000).

Entry 10:
Density functional theory data (PBEsol) for a geometry-optimized Rb3TlBr6 structure.

Its crystal system is cubic. The calculation puts the energy at -114.7 eV for the cell shown. For the energy relative to the elements, uncorrected, the calculation gives -1174 meV/atom. As for the density of states at the Fermi level: 0.0 states/eV/cell.

The structure belongs to space group Fm-3m (No. 225); the cell edges are 11.747, 11.747 and 11.747 Å and the angles 90.00°, 90.00° and 90.00°. The asymmetric unit holds Rb at (0.000, 0.000, 0.000), Rb at (0.250, 0.250, 0.250), Tl at (0.000, 0.000, 0.500) and Br at (0.000, 0.000, 0.268).